Entry 1:
Compound: TaInTeOs2
Source: Alexandria
Functional: GGA-PBE
Structure: optimized geometry

a b c (Å): 4.837 4.837 5.326
angles (deg): 90.00 90.00 90.00
Space group P4/mmm (No. 123)
One atom of each set of equivalent atoms:
Ta 0.000 0.000 0.000 (multiplicity 1)
In 0.000 0.000 0.500 (multiplicity 1)
Te 0.500 0.500 0.500 (multiplicity 1)
Os 0.000 0.500 0.000 (multiplicity 2)

Values from the calculation:
ΔE_f (raw): 1.6801 eV per atom
density: 10710 kg/m3
VASP energy: -31.79 eV for the cell shown

---

Entry 2:
Compound: Tb5In2Os2
Source: Alexandria
Functional: GGA-PBE
Structure: optimized geometry

a b c (Å): 16.568 7.494 7.625
angles (deg): 90.00 90.00 90.00
Space group Cmce (No. 64)
One atom of each set of equivalent atoms:
Tb 0.000 0.000 0.000 (multiplicity 4)
Tb 0.119 0.182 0.320 (multiplicity 16)
In 0.225 0.000 0.000 (multiplicity 8)
Os 0.000 0.113 0.620 (multiplicity 8)

Values from the calculation:
formation enthalpy at 0 K: -306 meV/atom
density: 9856 kg/m3
VASP energy: -215.38 eV for the cell shown

---

Entry 3:
Compound: Tb3InOs
Source: Alexandria
Functional: GGA-PBE
Structure: optimized geometry

a b c (Å): 13.005 5.294 8.523
angles (deg): 90.00 114.20 90.00
Space group C2/m (No. 12)
One atom of each set of equivalent atoms:
Tb 0.068 0.000 0.235 (multiplicity 4)
Tb 0.091 0.500 0.873 (multiplicity 4)
Tb 0.225 0.000 0.732 (multiplicity 4)
In 0.125 0.500 0.502 (multiplicity 4)
Os 0.178 0.000 0.024 (multiplicity 4)

Values from the calculation:
formation enthalpy at 0 K: -226 meV/atom
density: 9703 kg/m3
VASP energy: -115.95 eV for the cell shown
energy above the lowest structure with this stoichiometry: 0.56 eV/f.u.

---

Entry 4:
Compound: Tb5In2Os
Source: Alexandria
Functional: GGA-PBE
Structure: optimized geometry

a b c (Å): 6.779 12.683 4.984
angles (deg): 90.00 90.00 90.00
Space group Pbam (No. 55)
One atom of each set of equivalent atoms:
Tb 0.000 0.000 0.000 (multiplicity 2)
Tb 0.114 0.288 0.000 (multiplicity 4)
Tb 0.172 0.588 0.500 (multiplicity 4)
In 0.119 0.844 0.500 (multiplicity 4)
Os 0.000 0.500 0.000 (multiplicity 2)

Values from the calculation:
formation enthalpy at 0 K: -347 meV/atom
density: 9412 kg/m3
VASP energy: -85.26 eV for the cell shown

---

Entry 5:
Compound: TbInOs
Source: Alexandria
Functional: GGA-PBE
Structure: optimized geometry

a b c (Å): 12.882 4.326 5.233
angles (deg): 90.00 102.97 90.00
Space group C2/m (No. 12)
One atom of each set of equivalent atoms:
Tb 0.127 0.000 0.330 (multiplicity 4)
In 0.070 0.500 0.787 (multiplicity 4)
Os 0.220 0.000 0.899 (multiplicity 4)

Values from the calculation:
formation enthalpy at 0 K: -186 meV/atom
density: 10845 kg/m3
VASP energy: -76.62 eV for the cell shown

---

Entry 6:
Compound: Tb5InOs2
Source: Alexandria
Functional: GGA-PBE
Structure: optimized geometry

a b c (Å): 7.789 7.789 13.671
angles (deg): 90.00 90.00 90.00
Space group I4/mcm (No. 140)
One atom of each set of equivalent atoms:
Tb 0.000 0.000 0.000 (multiplicity 4)
Tb 0.159 0.341 0.132 (multiplicity 16)
In 0.000 0.000 0.250 (multiplicity 4)
Os 0.141 0.359 0.500 (multiplicity 8)

Values from the calculation:
formation enthalpy at 0 K: -314 meV/atom
density: 10330 kg/m3
VASP energy: -203.45 eV for the cell shown

---

Entry 7:
Compound: Tb6In2Os
Source: Alexandria
Functional: GGA-PBE
Structure: optimized geometry

a b c (Å): 3.906 14.928 8.610
angles (deg): 90.00 90.00 90.00
Space group Amm2 (No. 38)
One atom of each set of equivalent atoms:
Tb 0.000 0.000 0.000 (multiplicity 2)
Tb 0.000 0.122 0.637 (multiplicity 4)
Tb 0.500 0.000 0.372 (multiplicity 2)
Tb 0.500 0.193 0.952 (multiplicity 4)
In 0.000 0.167 0.258 (multiplicity 4)
Os 0.500 0.000 0.757 (multiplicity 2)

Values from the calculation:
formation enthalpy at 0 K: -320 meV/atom
density: 9087 kg/m3
VASP energy: -94.74 eV for the cell shown

---

Entry 8:
Compound: Tb3InOs
Source: Alexandria
Functional: GGA-PBE
Structure: optimized geometry

a b c (Å): 6.588 9.674 16.288
angles (deg): 90.00 90.00 90.00
Space group Fmmm (No. 69)
One atom of each set of equivalent atoms:
Tb 0.000 0.000 0.201 (multiplicity 8)
Tb 0.000 0.192 0.389 (multiplicity 16)
In 0.209 0.000 0.000 (multiplicity 8)
Os 0.250 0.250 0.250 (multiplicity 8)

Values from the calculation:
formation enthalpy at 0 K: -338 meV/atom
density: 10005 kg/m3
VASP energy: -236.41 eV for the cell shown
energy above the lowest structure with this stoichiometry: 0.00 eV/f.u.

---

Entry 9:
Compound: InTcOs
Source: Alexandria
Functional: GGA-PBE
Structure: optimized geometry

a b c (Å): 2.939 4.897 13.961
angles (deg): 90.00 90.00 90.00
Space group Fmm2 (No. 42)
One atom of each set of equivalent atoms:
In 0.000 0.000 0.000 (multiplicity 4)
Tc 0.000 0.000 0.325 (multiplicity 4)
Os 0.000 0.000 0.675 (multiplicity 4)

Values from the calculation:
formation enthalpy at 0 K: 584 meV/atom
density: 13325 kg/m3
VASP energy: -90.33 eV for the cell shown
energy above the lowest structure with this stoichiometry: 1.33 eV/f.u.

---

Entry 10:
Compound: In2TcOs
Source: Alexandria
Functional: GGA-PBE
Structure: optimized geometry

a b c (Å): 3.0051 3.0051 26.8953
angles (deg): 90.00 90.00 120.00
Space group R-3m (No. 166, hexagonal axes)
One atom of each set of equivalent atoms:
In 0.0000 0.0000 0.2503 (multiplicity 6)
Tc 0.0000 0.0000 0.5000 (multiplicity 3)
Os 0.0000 0.0000 0.0000 (multiplicity 3)

Values from the calculation:
formation enthalpy at 0 K: 546 meV/atom
density: 12265 kg/m3
VASP energy: -74.67 eV for the cell shown
energy above the lowest structure with this stoichiometry: 1.68 eV/f.u.

---

Entry 11:
Compound: In2TcOs
Source: Alexandria
Functional: GGA-PBE
Structure: optimized geometry

a b c (Å): 3.241 3.241 6.608
angles (deg): 90.00 90.00 90.00
Space group P4/mmm (No. 123)
One atom of each set of equivalent atoms:
In 0.000 0.000 0.244 (multiplicity 2)
Tc 0.500 0.500 0.500 (multiplicity 1)
Os 0.500 0.500 0.000 (multiplicity 1)

Values from the calculation:
formation enthalpy at 0 K: 515 meV/atom
density: 12387 kg/m3
VASP energy: -25.01 eV for the cell shown
energy above the lowest structure with this stoichiometry: 1.56 eV/f.u.

---

Entry 12:
Compound: In2TcOs
Source: Alexandria
Functional: GGA-PBE
Structure: optimized geometry

a b c (Å): 9.067 2.997 5.253
angles (deg): 90.00 100.82 90.00
Space group C2/m (No. 12)
One atom of each set of equivalent atoms:
In 0.249 0.000 0.248 (multiplicity 4)
Tc 0.000 0.000 0.500 (multiplicity 2)
Os 0.000 0.500 0.000 (multiplicity 2)

Values from the calculation:
formation enthalpy at 0 K: 532 meV/atom
density: 12266 kg/m3
VASP energy: -49.89 eV for the cell shown
energy above the lowest structure with this stoichiometry: 1.63 eV/f.u.

---

Entry 13:
Compound: In2TcOs
Source: Alexandria
Functional: GGA-PBE
Structure: optimized geometry

a b c (Å): 4.117 4.117 8.215
angles (deg): 90.00 90.00 90.00
Space group I-4m2 (No. 119)
One atom of each set of equivalent atoms:
In 0.000 0.000 0.000 (multiplicity 2)
In 0.000 0.500 0.250 (multiplicity 2)
Tc 0.000 0.000 0.500 (multiplicity 2)
Os 0.000 0.500 0.750 (multiplicity 2)

Values from the calculation:
formation enthalpy at 0 K: 563 meV/atom
density: 12351 kg/m3
VASP energy: -49.64 eV for the cell shown
energy above the lowest structure with this stoichiometry: 1.75 eV/f.u.

---

Entry 14:
Compound: In2TcOs
Source: Alexandria
Functional: GGA-PBE
Structure: optimized geometry

a b c (Å): 2.926 4.671 10.901
angles (deg): 90.00 90.00 90.00
Space group Imm2 (No. 44)
One atom of each set of equivalent atoms:
In 0.000 0.000 0.000 (multiplicity 2)
In 0.000 0.500 0.196 (multiplicity 2)
Tc 0.000 0.000 0.442 (multiplicity 2)
Os 0.000 0.500 0.750 (multiplicity 2)

Values from the calculation:
formation enthalpy at 0 K: 427 meV/atom
density: 11544 kg/m3
VASP energy: -50.73 eV for the cell shown
energy above the lowest structure with this stoichiometry: 1.21 eV/f.u.

---

Entry 15:
Compound: InTc4Os
Source: Alexandria
Functional: GGA-PBE
Structure: optimized geometry

a b c (Å): 7.265 7.265 7.265
angles (deg): 90.00 90.00 90.00
Space group F-43m (No. 216)
One atom of each set of equivalent atoms:
In 0.000 0.000 0.000 (multiplicity 4)
Tc 0.126 0.126 0.374 (multiplicity 16)
Os 0.250 0.250 0.750 (multiplicity 4)

Values from the calculation:
formation enthalpy at 0 K: 477 meV/atom
density: 12077 kg/m3
VASP energy: -210.28 eV for the cell shown

---

Entry 16:
Compound: InTcOs
Source: Alexandria
Functional: GGA-PBE
Structure: optimized geometry

a b c (Å): 2.907 2.907 11.705
angles (deg): 90.00 90.00 90.00
Space group I4mm (No. 107)
One atom of each set of equivalent atoms:
In 0.000 0.000 0.000 (multiplicity 2)
Tc 0.000 0.000 0.317 (multiplicity 2)
Os 0.000 0.000 0.682 (multiplicity 2)

Values from the calculation:
formation enthalpy at 0 K: 140 meV/atom
density: 13533 kg/m3
VASP energy: -47.83 eV for the cell shown
energy above the lowest structure with this stoichiometry: 0.00 eV/f.u.

---

Entry 17:
Compound: In2Tc2Os
Source: Alexandria
Functional: GGA-PBE
Structure: optimized geometry

a b c (Å): 3.425 3.425 16.088
angles (deg): 90.00 90.00 90.00
Space group I4/mmm (No. 139)
One atom of each set of equivalent atoms:
In 0.000 0.000 0.097 (multiplicity 4)
Tc 0.000 0.500 0.250 (multiplicity 4)
Os 0.000 0.000 0.500 (multiplicity 2)

Values from the calculation:
formation enthalpy at 0 K: 805 meV/atom
density: 10841 kg/m3
VASP energy: -66.83 eV for the cell shown

---

Entry 18:
Compound: In2TcOs
Source: Alexandria
Functional: GGA-PBE
Structure: optimized geometry

a b c (Å): 2.938 2.977 16.970
angles (deg): 90.00 90.00 90.00
Space group Amm2 (No. 38)
One atom of each set of equivalent atoms:
In 0.000 0.000 0.000 (multiplicity 2)
In 0.500 0.000 0.166 (multiplicity 2)
Tc 0.000 0.000 0.787 (multiplicity 2)
Os 0.500 0.000 0.380 (multiplicity 2)

Values from the calculation:
formation enthalpy at 0 K: 125 meV/atom
density: 11588 kg/m3
VASP energy: -53.14 eV for the cell shown
energy above the lowest structure with this stoichiometry: 0.00 eV/f.u.

---

Entry 19:
Compound: InTcOs
Source: Alexandria
Functional: GGA-PBE
Structure: optimized geometry

a b c (Å): 2.8750 2.8750 6.9023
angles (deg): 90.00 90.00 120.00
Space group P3m1 (No. 156)
One atom of each set of equivalent atoms:
In 0.0000 0.0000 0.0000 (multiplicity 1)
Tc 0.3333 0.6667 0.6469 (multiplicity 1)
Os 0.6667 0.3333 0.3559 (multiplicity 1)

Values from the calculation:
formation enthalpy at 0 K: 309 meV/atom
density: 13546 kg/m3
VASP energy: -23.41 eV for the cell shown
energy above the lowest structure with this stoichiometry: 0.51 eV/f.u.

---

Entry 20:
Compound: In2TcOs
Source: Alexandria
Functional: GGA-PBE
Structure: optimized geometry

a b c (Å): 2.9887 2.9887 28.1794
angles (deg): 90.00 90.00 120.00
Space group R3m (No. 160, hexagonal axes)
One atom of each set of equivalent atoms:
In 0.0000 0.0000 0.0000 (multiplicity 3)
In 0.0000 0.0000 0.2364 (multiplicity 3)
Tc 0.0000 0.0000 0.7505 (multiplicity 3)
Os 0.0000 0.0000 0.4859 (multiplicity 3)

Values from the calculation:
formation enthalpy at 0 K: 328 meV/atom
density: 11835 kg/m3
VASP energy: -77.29 eV for the cell shown
energy above the lowest structure with this stoichiometry: 0.81 eV/f.u.

---

Entry 21:
Compound: In2TcOs
Source: Alexandria
Functional: GGA-PBE
Structure: optimized geometry

a b c (Å): 2.960 2.960 8.590
angles (deg): 90.00 90.00 90.00
Space group P4mm (No. 99)
One atom of each set of equivalent atoms:
In 0.000 0.000 0.000 (multiplicity 1)
In 0.500 0.500 0.337 (multiplicity 1)
Tc 0.500 0.500 0.758 (multiplicity 1)
Os 0.000 0.000 0.579 (multiplicity 1)

Values from the calculation:
formation enthalpy at 0 K: 202 meV/atom
density: 11423 kg/m3
VASP energy: -26.26 eV for the cell shown
energy above the lowest structure with this stoichiometry: 0.31 eV/f.u.

---

Entry 22:
Compound: In2TcOs
Source: Alexandria
Functional: GGA-PBE
Structure: optimized geometry

a b c (Å): 6.516 6.516 6.516
angles (deg): 90.00 90.00 90.00
Space group Fm-3m (No. 225)
One atom of each set of equivalent atoms:
In 0.250 0.250 0.250 (multiplicity 8)
Tc 0.000 0.000 0.000 (multiplicity 4)
Os 0.000 0.000 0.500 (multiplicity 4)

Values from the calculation:
formation enthalpy at 0 K: 513 meV/atom
density: 12434 kg/m3
VASP energy: -100.09 eV for the cell shown
energy above the lowest structure with this stoichiometry: 1.55 eV/f.u.

---

Entry 23:
Compound: In2TcOs
Source: Alexandria
Functional: GGA-PBE
Structure: optimized geometry

a b c (Å): 3.114 4.551 5.016
angles (deg): 90.00 90.00 90.00
Space group Pmmm (No. 47)
One atom of each set of equivalent atoms:
In 0.000 0.000 0.000 (multiplicity 1)
In 0.500 0.000 0.500 (multiplicity 1)
Tc 0.000 0.500 0.500 (multiplicity 1)
Os 0.500 0.500 0.000 (multiplicity 1)

Values from the calculation:
formation enthalpy at 0 K: 610 meV/atom
density: 12095 kg/m3
VASP energy: -24.63 eV for the cell shown
energy above the lowest structure with this stoichiometry: 1.94 eV/f.u.

---

Entry 24:
Compound: In4TcOs
Source: Alexandria
Functional: GGA-PBE
Structure: optimized geometry

a b c (Å): 7.922 7.922 7.922
angles (deg): 90.00 90.00 90.00
Space group F-43m (No. 216)
One atom of each set of equivalent atoms:
In 0.125 0.125 0.125 (multiplicity 16)
Tc 0.000 0.000 0.500 (multiplicity 4)
Os 0.250 0.250 0.750 (multiplicity 4)

Values from the calculation:
formation enthalpy at 0 K: 1203 meV/atom
density: 9986 kg/m3
VASP energy: -101.33 eV for the cell shown

---

Entry 25:
Compound: InTcOs
Source: Alexandria
Functional: GGA-PBE
Structure: optimized geometry

a b c (Å): 6.107 6.107 6.107
angles (deg): 90.00 90.00 90.00
Space group F-43m (No. 216)
One atom of each set of equivalent atoms:
In 0.000 0.000 0.000 (multiplicity 4)
Tc 0.000 0.000 0.500 (multiplicity 4)
Os 0.250 0.250 0.250 (multiplicity 4)

Values from the calculation:
formation enthalpy at 0 K: 503 meV/atom
density: 11751 kg/m3
VASP energy: -91.30 eV for the cell shown
energy above the lowest structure with this stoichiometry: 1.09 eV/f.u.

---

Entry 26:
Compound: In2TcOs
Source: Alexandria
Functional: GGA-PBE
Structure: optimized geometry

a b c (Å): 3.123 4.993 9.087
angles (deg): 90.00 90.00 90.00
Space group Cmmm (No. 65)
One atom of each set of equivalent atoms:
In 0.000 0.000 0.249 (multiplicity 4)
Tc 0.000 0.500 0.500 (multiplicity 2)
Os 0.000 0.500 0.000 (multiplicity 2)

Values from the calculation:
formation enthalpy at 0 K: 619 meV/atom
density: 12137 kg/m3
VASP energy: -49.19 eV for the cell shown
energy above the lowest structure with this stoichiometry: 1.97 eV/f.u.

---

Entry 27:
Compound: InTc3Os
Source: Alexandria
Functional: GGA-PBE
Structure: optimized geometry

a b c (Å): 4.724 4.724 4.724
angles (deg): 90.00 90.00 90.00
Space group Pm-3m (No. 221)
One atom of each set of equivalent atoms:
In 0.000 0.000 0.000 (multiplicity 1)
Tc 0.000 0.500 0.500 (multiplicity 3)
Os 0.500 0.500 0.500 (multiplicity 1)

Values from the calculation:
formation enthalpy at 0 K: 1519 meV/atom
density: 9436 kg/m3
VASP energy: -37.47 eV for the cell shown
energy above the lowest structure with this stoichiometry: 0.00 eV/f.u.